Entry 1:
First-principles (GGA-PBEsol) data for an optimized crystal structure of CrReRu2, as listed in the Alexandria database.

Calculated values
Its electronic total energy is -169.52 eV for the cell shown. The formation energy is 0.38 eV/atom. The calculation puts the density of states at the Fermi level at 20.7 states/eV per cell. The value obtained for the spin magnetization is 3.5 μB/f.u.

abc: 6.0288 6.0288 6.0288
angles: 90.00 90.00 90.00
Space group Fm-3m (No. 225)
Symmetry-distinct sites (fractional):
Cr  0.0000  0.0000  0.0000 x4
Re  0.0000  0.0000  0.5000 x4
Ru  0.2500  0.2500  0.2500 x8

---

Entry 2:
First-principles (GGA-PBEsol) data for an optimized crystal structure of KCSeN2, as listed in the Alexandria database.

Calculated values
The calculation puts the uncorrected formation energy at 2.12 eV/atom. Its electronic total energy is -21.11 eV for the cell shown. The calculation puts the density of states at the Fermi level at 3.2 states/eV per cell. The value obtained for the spin magnetization is 2.6 μB/f.u.

abc: 3.9982 3.9982 4.2571
angles: 90.00 90.00 90.00
Space group P4/mmm (No. 123)
Symmetry-distinct sites (fractional):
K  0.0000  0.0000  0.0000 x1
C  0.5000  0.5000  0.5000 x1
Se  0.5000  0.5000  0.0000 x1
N  0.0000  0.5000  0.5000 x2

---

Entry 3:
First-principles (GGA-PBEsol) data for an optimized crystal structure of CuSiS2Cl, as listed in the Alexandria database.

Calculated values
The calculation puts the uncorrected formation energy at 0.36 eV/atom. Its electronic total energy is -19.05 eV for the cell shown. The calculation puts the density of states at the Fermi level at 2.4 states/eV per cell. The value obtained for the spin magnetization is 0.0 μB/f.u.

abc: 4.4875 4.4875 4.4973
angles: 90.00 90.00 90.00
Space group P4/mmm (No. 123)
Symmetry-distinct sites (fractional):
Cu  0.0000  0.0000  0.0000 x1
Si  0.5000  0.5000  0.5000 x1
S  0.0000  0.5000  0.0000 x2
Cl  0.0000  0.0000  0.5000 x1

---

Entry 4:
First-principles (GGA-PBEsol) data for an optimized crystal structure of BaYMg, as listed in the Alexandria database.

Calculated values
Its electronic total energy is -10.13 eV for the cell shown. The formation energy is 0.19 eV/atom. The calculation puts the density of states at the Fermi level at 3.7 states/eV per cell. The value obtained for the spin magnetization is 0.0 μB/f.u.

abc: 5.7577 5.7577 3.4992
angles: 90.00 90.00 120.00
Space group P3m1 (No. 156)
Symmetry-distinct sites (fractional):
Ba  0.0000  0.0000  0.0000 x1
Y  0.3333  0.6667  0.6396 x1
Mg  0.6667  0.3333  0.3443 x1

---

Entry 5:
First-principles (GGA-PBEsol) data for an optimized crystal structure of KFeTeI2, as listed in the Alexandria database.

Calculated values
The calculation puts the uncorrected formation energy at -0.31 eV/atom. Its electronic total energy is -18.73 eV for the cell shown. The calculation puts the density of states at the Fermi level at 5.0 states/eV per cell. The value obtained for the spin magnetization is 3.7 μB/f.u.

abc: 5.6660 5.6660 5.0316
angles: 90.00 90.00 90.00
Space group P4/mmm (No. 123)
Symmetry-distinct sites (fractional):
K  0.0000  0.0000  0.0000 x1
Fe  0.5000  0.5000  0.5000 x1
Te  0.5000  0.5000  0.0000 x1
I  0.0000  0.5000  0.5000 x2

---

Entry 6:
First-principles (GGA-PBEsol) data for an optimized crystal structure of BaSiPb2, as listed in the Alexandria database.

Calculated values
The calculation puts the uncorrected formation energy at -0.12 eV/atom. Its electronic total energy is -16.35 eV for the cell shown. The calculation puts the density of states at the Fermi level at 1.1 states/eV per cell. The value obtained for the spin magnetization is 0.0 μB/f.u.

abc: 4.8053 4.8053 4.9271
angles: 90.00 90.00 90.00
Space group P4/mmm (No. 123)
Symmetry-distinct sites (fractional):
Ba  0.0000  0.0000  0.0000 x1
Si  0.5000  0.5000  0.0000 x1
Pb  0.0000  0.5000  0.5000 x2

---

Entry 7:
First-principles (GGA-PBEsol) data for an optimized crystal structure of MgMn2Sb, as listed in the Alexandria database.

Calculated values
The calculation puts the uncorrected formation energy at 0.42 eV/atom. Its electronic total energy is -48.24 eV for the cell shown. The calculation puts the density of states at the Fermi level at 7.2 states/eV per cell. The value obtained for the spin magnetization is 6.5 μB/f.u.

abc: 5.7883 9.0363 2.9740
angles: 90.00 116.68 90.00
Space group C2/m (No. 12)
Symmetry-distinct sites (fractional):
Mg  0.0000  0.0000  0.0000 x2
Mn  0.2500  0.2500  0.5000 x4
Sb  0.0000  0.5000  0.0000 x2

---

Entry 8:
First-principles (GGA-PBEsol) data for an optimized crystal structure of CsK3Ti, as listed in the Alexandria database.

Calculated values
Its electronic total energy is -8.69 eV for the cell shown. The formation energy is 0.79 eV/atom. The calculation puts the density of states at the Fermi level at 7.3 states/eV per cell. The value obtained for the spin magnetization is 4.5 μB/f.u.

abc: 6.9007 6.9007 6.9007
angles: 90.00 90.00 90.00
Space group Pm-3m (No. 221)
Symmetry-distinct sites (fractional):
Cs  0.0000  0.0000  0.0000 x1
K  0.0000  0.5000  0.5000 x3
Ti  0.5000  0.5000  0.5000 x1

---

Which formula does entry 8 have? CsK3Ti